RbBaAu3: optimized geometry, PBE.

## Properties
Raw total energy, eV per cell: -13.57
Size of the total moment, μB/f.u.: 0.00
Formation enthalpy at 0 K, eV per formula unit: -0.8
Energy above the lowest structure with this stoichiometry, eV/atom: 0.368

Cell lengths 6.269, 6.269, 6.269 Å; angles 90.00, 90.00, 90.00 degrees
Fractional coordinates of all 5 atoms:
Au1 0.000 0.500 0.000
Au2 0.000 0.000 0.500
Au3 0.500 0.000 0.000
Ba1 0.000 0.000 0.000
Rb1 0.500 0.500 0.500

=====

RbBaAu: optimized geometry, PBE.

## Properties
Raw total energy, eV per cell: -7.15
Size of the total moment, μB/f.u.: 0.00
Formation enthalpy at 0 K, eV per formula unit: -1.0
Energy above the lowest structure with this stoichiometry, eV/atom: 0.093

Cell lengths 4.220, 4.220, 8.507 Å; angles 104.36, 104.36, 90.00 degrees
Fractional coordinates of all 3 atoms:
Au1 0.685 0.685 0.370
Ba1 0.282 0.282 0.565
Rb1 0.033 0.033 0.065